! PBE TaNbOsRh, relaxed; values from VASP
&SYSTEM
  ibrav = 0, nat = 4, ntyp = 4
/
ATOMIC_SPECIES
Ta 180.95 Ta.upf
Nb 92.91 Nb.upf
Os 190.23 Os.upf
Rh 102.91 Rh.upf
CELL_PARAMETERS angstrom
4.198 0.000 0.000
0.000 4.198 0.001
-2.099 -2.099 3.676
ATOMIC_POSITIONS crystal
Ta 0.000 0.000 0.000
Nb 0.500 0.500 0.000
Os 0.250 0.750 0.500
Rh 0.750 0.250 0.500
! DFT total energy ... -10.44 eV per atom
! D(E_F) ... 1.19 states/eV per atom
! Magnetization ... 0.00 μB/cell
! E above lowest polymorph ... 0 meV per atom
! Calculated formation energy ... -311 meV per atom